Material: MnNbO4
Method: DFT, PBE+U
State: relaxed

The value obtained for the total DFT energy (no corrections) is -98.473 eV for the cell shown. For the density of states at the Fermi level, the calculation gives 0.16 states/eV per cell. For the mass density, the calculation gives 5.3 Mg/m³.

It has space group P2_1/c (No. 14), with a = 4.953 Å, b = 5.087 Å, c = 5.239 Å, α = 90.00°, β = 92.85° and γ = 90.00°. The asymmetric unit holds Mn at (0.000, 0.000, 0.000), Nb at (0.500, 0.000, 0.500), O at (0.173, 0.177, 0.599) and O at (0.334, 0.667, 0.666).